{
  "formula": "Sn3RhF",
  "functional": "PBE",
  "state": "relaxed",
  "final_energy_ev_per_cell": -21.711,
  "mass_density_g_cm3": 7.3,
  "polymorph_energy_ev_per_fu": 1.30,
  "total_magnetization_mub_per_cell": 0.000,
  "cell": [[4.780, 0.000, 0.000], [0.000, 4.780, 0.000], [0.000, 0.000, 4.780]],
  "species": ["Sn", "Sn", "Sn", "Rh", "F"],
  "fractional_positions": [[0.000, 0.000, 0.500], [0.000, 0.500, 0.000], [0.500, 0.000, 0.000], [0.500, 0.500, 0.500], [0.000, 0.000, 0.000]]
}

***

{
  "formula": "Sn3RhF",
  "functional": "PBE",
  "state": "relaxed",
  "final_energy_ev_per_cell": -23.013,
  "mass_density_g_cm3": 5.9,
  "polymorph_energy_ev_per_fu": 0.00,
  "total_magnetization_mub_per_cell": 0.000,
  "cell": [[5.117, 0.000, 0.000], [0.000, 5.117, 0.000], [0.000, 0.000, 5.117]],
  "species": ["Sn", "Sn", "Sn", "Rh", "F"],
  "fractional_positions": [[0.000, 0.000, 0.500], [0.000, 0.500, 0.000], [0.500, 0.000, 0.000], [0.000, 0.000, 0.000], [0.500, 0.500, 0.500]]
}

***

Copy entry 1 word for word.
{
  "formula": "Sn3RhF",
  "functional": "PBE",
  "state": "relaxed",
  "final_energy_ev_per_cell": -21.711,
  "mass_density_g_cm3": 7.3,
  "polymorph_energy_ev_per_fu": 1.30,
  "total_magnetization_mub_per_cell": 0.000,
  "cell": [[4.780, 0.000, 0.000], [0.000, 4.780, 0.000], [0.000, 0.000, 4.780]],
  "species": ["Sn", "Sn", "Sn", "Rh", "F"],
  "fractional_positions": [[0.000, 0.000, 0.500], [0.000, 0.500, 0.000], [0.500, 0.000, 0.000], [0.500, 0.500, 0.500], [0.000, 0.000, 0.000]]
}

***

What did the first record say?
{
  "formula": "Sn3RhF",
  "functional": "PBE",
  "state": "relaxed",
  "final_energy_ev_per_cell": -21.711,
  "mass_density_g_cm3": 7.3,
  "polymorph_energy_ev_per_fu": 1.30,
  "total_magnetization_mub_per_cell": 0.000,
  "cell": [[4.780, 0.000, 0.000], [0.000, 4.780, 0.000], [0.000, 0.000, 4.780]],
  "species": ["Sn", "Sn", "Sn", "Rh", "F"],
  "fractional_positions": [[0.000, 0.000, 0.500], [0.000, 0.500, 0.000], [0.500, 0.000, 0.000], [0.500, 0.500, 0.500], [0.000, 0.000, 0.000]]
}